Record 1
## Tb3Er (PBE-GGA)

Data for a geometry-optimized Tb3Er structure.

The structure in POSCAR format:
```
Tb3Er
1.0
-1.808 5.642 3.124
1.808 -5.642 3.124
1.808 5.642 -3.124
Tb Er
3 1
Cartesian
0.000 0.000 0.000
1.808 2.831 1.042
0.000 2.810 4.166
1.808 0.000 3.114
```

Calculated values
Formation enthalpy at 0 K: 0.0102 eV per atom

Record 2
## Zn2PtPb (PBE-GGA)

Data for a geometry-optimized Zn2PtPb structure.

The structure in POSCAR format:
```
Zn2PtPb
1.0
4.048 -1.973 0.000
4.048 1.973 0.000
-1.852 0.000 5.083
Zn Pt Pb
2 1 1
Cartesian
1.510 0.000 0.738
4.734 0.000 4.346
4.048 0.000 0.000
-0.926 0.000 2.542
```

Calculated values
Formation enthalpy at 0 K: -0.1314 eV per atom

Record 3
## CaSeBr2 (PBE-GGA)

Data for a geometry-optimized CaSeBr2 structure.

The structure in POSCAR format:
```
CaSeBr2
1.0
3.442 -4.618 0.000
3.442 4.618 0.000
-3.431 0.000 3.672
Ca Se Br
1 1 2
Cartesian
0.000 0.000 0.000
3.442 0.000 0.000
0.005 2.309 1.836
0.005 -2.309 1.836
```

Calculated values
Formation energy (no corrections): -0.978 eV per atom

Record 4
## Cu2NiW (PBE-GGA)

Data for a geometry-optimized Cu2NiW structure.

The structure in POSCAR format:
```
Cu2NiW
1.0
1.332 0.769 8.508
-1.332 0.769 8.508
0.000 -1.539 8.508
Cu Ni W
2 1 1
Cartesian
0.000 0.000 6.254
0.000 0.000 19.271
0.000 0.000 12.763
0.000 0.000 0.000
```

Calculated values
Formation enthalpy at 0 K: 0.2442 eV per atom

Record 5
## AlHgIr3 (PBE-GGA)

Data for a geometry-optimized AlHgIr3 structure.

The structure in POSCAR format:
```
AlHgIr3
1.0
4.893 0.000 0.000
0.000 4.893 0.000
0.000 0.000 4.893
Al Hg Ir
1 1 3
Cartesian
0.000 0.000 0.000
2.446 2.446 2.446
0.000 2.446 2.446
2.446 0.000 2.446
2.446 2.446 0.000
```

Calculated values
Formation enthalpy at 0 K: 2.2734 eV per atom

Record 6
## Dy2ZnCo (PBE-GGA)

Data for a geometry-optimized Dy2ZnCo structure.

The structure in POSCAR format:
```
Dy2ZnCo
1.0
1.881 1.086 9.277
-1.881 1.086 9.277
0.000 -2.173 9.277
Dy Zn Co
2 1 1
Cartesian
0.000 0.000 3.168
0.000 0.000 24.662
0.000 0.000 0.000
0.000 0.000 13.915
```

Calculated values
Formation enthalpy at 0 K: 0.1551 eV per atom

Record 7
## LiScOs2 (PBE-GGA)

Data for a geometry-optimized LiScOs2 structure.

The structure in POSCAR format:
```
LiScOs2
1.0
1.509 -2.285 0.000
1.509 2.285 0.000
0.000 0.000 8.809
Li Sc Os
1 1 2
Cartesian
0.000 0.000 0.000
0.000 0.000 4.404
1.509 0.000 2.199
1.509 0.000 6.610
```

Calculated values
Formation enthalpy at 0 K: 0.1152 eV per atom

Record 8
## LiCaThRu (PBE-GGA)

Data for a geometry-optimized LiCaThRu structure.

The structure in POSCAR format:
```
LiCaThRu
1.0
0.000 3.544 3.544
3.544 0.000 3.544
3.544 3.544 0.000
Li Ca Th Ru
1 1 1 1
Cartesian
0.000 0.000 0.000
5.316 5.316 5.316
1.772 1.772 1.772
3.544 3.544 3.544
```

Calculated values
Formation enthalpy at 0 K: -0.0388 eV per atom

Record 9
## La4InSn (PBE-GGA)

Data for a geometry-optimized La4InSn structure.

The structure in POSCAR format:
```
La4InSn
1.0
3.823 -2.882 0.000
3.823 2.882 0.000
-3.203 0.000 8.998
La In Sn
4 1 1
Cartesian
0.946 0.000 1.402
-0.662 0.000 5.910
5.105 0.000 3.087
3.497 0.000 7.595
2.222 0.000 4.499
3.823 0.000 0.000
```

Calculated values
Formation enthalpy at 0 K: -0.3643 eV per atom

Record 10
## SrSi2SnS8 (PBE-GGA)

Data for a geometry-optimized SrSi2SnS8 structure.

The structure in POSCAR format:
```
SrSi2SnS8
1.0
5.954 0.000 0.000
-2.977 5.156 0.000
0.000 0.000 8.944
Sr Si Sn S
1 2 1 8
Cartesian
0.000 0.000 0.000
0.000 3.438 6.683
2.977 1.719 2.261
0.000 0.000 4.472
-1.920 3.506 2.797
0.901 1.741 2.797
0.000 3.438 8.802
1.958 0.090 6.147
1.019 5.066 2.797
2.977 1.719 0.142
2.076 3.415 6.147
4.897 1.651 6.147
```

Calculated values
Formation energy (no corrections): -0.556 eV per atom

Record 11
## TaPb3Se (PBE-GGA)

Data for a geometry-optimized TaPb3Se structure.

The structure in POSCAR format:
```
TaPb3Se
1.0
5.518 0.000 0.000
0.000 5.518 0.000
0.000 0.000 5.518
Ta Pb Se
1 3 1
Cartesian
0.000 0.000 0.000
0.000 0.000 2.759
0.000 2.759 0.000
2.759 0.000 0.000
2.759 2.759 2.759
```

Calculated values
Formation energy (no corrections): 0.611 eV per atom

Record 12
## Ir2PbCl2 (PBE-GGA)

Data for a geometry-optimized Ir2PbCl2 structure.

The structure in POSCAR format:
```
Ir2PbCl2
1.0
-1.759 1.759 11.324
1.759 -1.759 11.324
1.759 1.759 -11.324
Ir Pb Cl
2 1 2
Cartesian
1.759 0.000 5.662
0.000 1.759 5.662
0.000 0.000 0.000
0.000 0.000 9.627
0.000 0.000 13.021
```

Calculated values
Formation energy (no corrections): 0.266 eV per atom

Table of calculated total energy (eV/atom), in record order: -4.60 -3.21 -3.19 -6.49 -3.85 -4.24 -7.56 -5.19 -4.77 -4.68 -4.68 -4.76